Record 1
# Nd2GdDy (PBE, relaxed)
# - Energy above the most stable polymorph in this dataset: 0.0000 eV/atom
# - Crystal system: tetragonal
data_Nd2GdDy
_symmetry_space_group_name_H-M 'P 1'
_symmetry_Int_Tables_number 1
_symmetry_space_group_name_Hall 'P 1'
_cell_length_a 5.0925
_cell_length_b 5.1339
_cell_length_c 5.1339
_cell_angle_alpha 90.00
_cell_angle_beta 90.00
_cell_angle_gamma 90.00
loop_
_atom_site_label
_atom_site_fract_x
_atom_site_fract_y
_atom_site_fract_z
Gd1 0.5000 0.0000 0.0000
Nd1 0.0000 0.0000 0.5000
Nd2 0.0000 0.5000 0.0000
Dy1 0.5000 0.5000 0.5000

Record 2
# NdGdDy2 (PBE, relaxed)
# - Energy above the most stable polymorph in this dataset: 0.0049 eV/atom
# - Crystal system: trigonal
data_NdGdDy2
_symmetry_space_group_name_H-M 'P 1'
_symmetry_Int_Tables_number 1
_symmetry_space_group_name_Hall 'P 1'
_cell_length_a 3.5889
_cell_length_b 3.5889
_cell_length_c 11.8654
_cell_angle_alpha 81.30
_cell_angle_beta 81.30
_cell_angle_gamma 60.00
loop_
_atom_site_label
_atom_site_fract_x
_atom_site_fract_y
_atom_site_fract_z
Dy1 0.7506 0.7506 0.7483
Dy2 0.2494 0.2494 0.2517
Gd1 0.5000 0.5000 0.5000
Nd1 0.0000 0.0000 0.0000

Record 3
# NdGdDy2 (PBE, relaxed)
# - Energy above the most stable polymorph in this dataset: 0.0079 eV/atom
# - Crystal system: tetragonal
data_NdGdDy2
_symmetry_space_group_name_H-M 'P 1'
_symmetry_Int_Tables_number 1
_symmetry_space_group_name_Hall 'P 1'
_cell_length_a 3.5946
_cell_length_b 3.5946
_cell_length_c 10.1071
_cell_angle_alpha 90.00
_cell_angle_beta 90.00
_cell_angle_gamma 90.00
loop_
_atom_site_label
_atom_site_fract_x
_atom_site_fract_y
_atom_site_fract_z
Dy1 0.0000 0.0000 0.7525
Dy2 0.0000 0.0000 0.2475
Nd1 0.5000 0.5000 0.5000
Gd1 0.5000 0.5000 0.0000

Record 4
# PmNdGdDy (PBE, relaxed)
# - Crystal system: cubic
data_PmNdGdDy
_symmetry_space_group_name_H-M 'P 1'
_symmetry_Int_Tables_number 1
_symmetry_space_group_name_Hall 'P 1'
_cell_length_a 5.7555
_cell_length_b 5.7555
_cell_length_c 5.7555
_cell_angle_alpha 60.00
_cell_angle_beta 60.00
_cell_angle_gamma 60.00
loop_
_atom_site_label
_atom_site_fract_x
_atom_site_fract_y
_atom_site_fract_z
Gd1 0.5000 0.5000 0.5000
Nd1 0.0000 0.0000 0.0000
Dy1 0.2500 0.2500 0.2500
Pm1 0.7500 0.7500 0.7500

Record 5
# NdGdDyPu (PBE, relaxed)
# - Crystal system: cubic
data_NdGdDyPu
_symmetry_space_group_name_H-M 'P 1'
_symmetry_Int_Tables_number 1
_symmetry_space_group_name_Hall 'P 1'
_cell_length_a 5.6525
_cell_length_b 5.6525
_cell_length_c 5.6525
_cell_angle_alpha 60.00
_cell_angle_beta 60.00
_cell_angle_gamma 60.00
loop_
_atom_site_label
_atom_site_fract_x
_atom_site_fract_y
_atom_site_fract_z
Dy1 0.5000 0.5000 0.5000
Pu1 0.0000 0.0000 0.0000
Nd1 0.2500 0.2500 0.2500
Gd1 0.7500 0.7500 0.7500

Record 6
# NdGdDyRu (PBE, relaxed)
# - Crystal system: cubic
data_NdGdDyRu
_symmetry_space_group_name_H-M 'P 1'
_symmetry_Int_Tables_number 1
_symmetry_space_group_name_Hall 'P 1'
_cell_length_a 5.2190
_cell_length_b 5.2190
_cell_length_c 5.2190
_cell_angle_alpha 60.00
_cell_angle_beta 60.00
_cell_angle_gamma 60.00
loop_
_atom_site_label
_atom_site_fract_x
_atom_site_fract_y
_atom_site_fract_z
Dy1 0.5000 0.5000 0.5000
Ru1 0.0000 0.0000 0.0000
Gd1 0.7500 0.7500 0.7500
Nd1 0.2500 0.2500 0.2500

Record 7
# TbNdGdDy (PBE, relaxed)
# - Crystal system: cubic
data_TbNdGdDy
_symmetry_space_group_name_H-M 'P 1'
_symmetry_Int_Tables_number 1
_symmetry_space_group_name_Hall 'P 1'
_cell_length_a 5.7191
_cell_length_b 5.7191
_cell_length_c 5.7191
_cell_angle_alpha 60.00
_cell_angle_beta 60.00
_cell_angle_gamma 60.00
loop_
_atom_site_label
_atom_site_fract_x
_atom_site_fract_y
_atom_site_fract_z
Dy1 0.0000 0.0000 0.0000
Nd1 0.2500 0.2500 0.2500
Gd1 0.7500 0.7500 0.7500
Tb1 0.5000 0.5000 0.5000

Record 8
# NdGdDyTl (PBE, relaxed)
# - Crystal system: cubic
data_NdGdDyTl
_symmetry_space_group_name_H-M 'P 1'
_symmetry_Int_Tables_number 1
_symmetry_space_group_name_Hall 'P 1'
_cell_length_a 5.5407
_cell_length_b 5.5407
_cell_length_c 5.5407
_cell_angle_alpha 60.00
_cell_angle_beta 60.00
_cell_angle_gamma 60.00
loop_
_atom_site_label
_atom_site_fract_x
_atom_site_fract_y
_atom_site_fract_z
Nd1 0.7500 0.7500 0.7500
Dy1 0.5000 0.5000 0.5000
Gd1 0.2500 0.2500 0.2500
Tl1 0.0000 0.0000 0.0000

Record 9
# NdGdDyTm (PBE, relaxed)
# - Crystal system: cubic
data_NdGdDyTm
_symmetry_space_group_name_H-M 'P 1'
_symmetry_Int_Tables_number 1
_symmetry_space_group_name_Hall 'P 1'
_cell_length_a 5.6906
_cell_length_b 5.6906
_cell_length_c 5.6906
_cell_angle_alpha 60.00
_cell_angle_beta 60.00
_cell_angle_gamma 60.00
loop_
_atom_site_label
_atom_site_fract_x
_atom_site_fract_y
_atom_site_fract_z
Gd1 0.7500 0.7500 0.7500
Tm1 0.5000 0.5000 0.5000
Nd1 0.2500 0.2500 0.2500
Dy1 0.0000 0.0000 0.0000

Record 10
# NdGdDyZn (PBE, relaxed)
# - Crystal system: cubic
data_NdGdDyZn
_symmetry_space_group_name_H-M 'P 1'
_symmetry_Int_Tables_number 1
_symmetry_space_group_name_Hall 'P 1'
_cell_length_a 5.4065
_cell_length_b 5.4065
_cell_length_c 5.4065
_cell_angle_alpha 60.00
_cell_angle_beta 60.00
_cell_angle_gamma 60.00
loop_
_atom_site_label
_atom_site_fract_x
_atom_site_fract_y
_atom_site_fract_z
Nd1 0.7500 0.7500 0.7500
Gd1 0.2500 0.2500 0.2500
Zn1 0.0000 0.0000 0.0000
Dy1 0.5000 0.5000 0.5000

Record 11
# NdGdDyZr (PBE, relaxed)
# - Crystal system: cubic
data_NdGdDyZr
_symmetry_space_group_name_H-M 'P 1'
_symmetry_Int_Tables_number 1
_symmetry_space_group_name_Hall 'P 1'
_cell_length_a 5.5510
_cell_length_b 5.5510
_cell_length_c 5.5510
_cell_angle_alpha 60.00
_cell_angle_beta 60.00
_cell_angle_gamma 60.00
loop_
_atom_site_label
_atom_site_fract_x
_atom_site_fract_y
_atom_site_fract_z
Dy1 0.0000 0.0000 0.0000
Nd1 0.7500 0.7500 0.7500
Zr1 0.2500 0.2500 0.2500
Gd1 0.5000 0.5000 0.5000

Record 12
# GdDyNi2 (PBE, relaxed)
# - Energy above the most stable polymorph in this dataset: 0.0000 eV/atom
# - Crystal system: monoclinic
data_GdDyNi2
_symmetry_space_group_name_H-M 'P 1'
_symmetry_Int_Tables_number 1
_symmetry_space_group_name_Hall 'P 1'
_cell_length_a 4.1908
_cell_length_b 5.4664
_cell_length_c 10.7015
_cell_angle_alpha 97.11
_cell_angle_beta 90.00
_cell_angle_gamma 90.00
loop_
_atom_site_label
_atom_site_fract_x
_atom_site_fract_y
_atom_site_fract_z
Ni1 0.2500 0.0536 0.6938
Ni2 0.7500 0.9470 0.3071
Ni3 0.2500 0.3789 0.0229
Ni4 0.7500 0.6242 0.9743
Ni5 0.2500 0.2084 0.3562
Ni6 0.7500 0.7872 0.6454
Dy1 0.2500 0.8947 0.1178
Dy2 0.2500 0.5844 0.7890
Dy3 0.7500 0.1063 0.8806
Gd1 0.7500 0.4168 0.2109
Gd2 0.7500 0.2562 0.5475
Gd3 0.2500 0.7423 0.4543

Record 13
# Gd3DyNi (PBE, relaxed)
# - Crystal system: cubic
data_Gd3DyNi
_symmetry_space_group_name_H-M 'P 1'
_symmetry_Int_Tables_number 1
_symmetry_space_group_name_Hall 'P 1'
_cell_length_a 5.3550
_cell_length_b 5.3550
_cell_length_c 5.3550
_cell_angle_alpha 90.00
_cell_angle_beta 90.00
_cell_angle_gamma 90.00
loop_
_atom_site_label
_atom_site_fract_x
_atom_site_fract_y
_atom_site_fract_z
Dy1 0.5000 0.5000 0.5000
Gd1 0.0000 0.0000 0.5000
Gd2 0.5000 0.0000 0.0000
Gd3 0.0000 0.5000 0.0000
Ni1 0.0000 0.0000 0.0000

Record 14
# GdDyNi (PBE, relaxed)
# - Energy above the most stable polymorph in this dataset: 0.0000 eV/atom
# - Crystal system: tetragonal
data_GdDyNi
_symmetry_space_group_name_H-M 'P 1'
_symmetry_Int_Tables_number 1
_symmetry_space_group_name_Hall 'P 1'
_cell_length_a 3.4245
_cell_length_b 3.4245
_cell_length_c 6.6937
_cell_angle_alpha 104.82
_cell_angle_beta 104.82
_cell_angle_gamma 90.00
loop_
_atom_site_label
_atom_site_fract_x
_atom_site_fract_y
_atom_site_fract_z
Gd1 0.3182 0.3182 0.6364
Dy1 0.5789 0.5789 0.1578
Ni1 0.9529 0.9529 0.9058

Record 15
# GdDyNi2 (PBE, relaxed)
# - Energy above the most stable polymorph in this dataset: 0.0713 eV/atom
# - Crystal system: cubic
data_GdDyNi2
_symmetry_space_group_name_H-M 'P 1'
_symmetry_Int_Tables_number 1
_symmetry_space_group_name_Hall 'P 1'
_cell_length_a 4.7993
_cell_length_b 4.7993
_cell_length_c 4.7993
_cell_angle_alpha 60.00
_cell_angle_beta 60.00
_cell_angle_gamma 60.00
loop_
_atom_site_label
_atom_site_fract_x
_atom_site_fract_y
_atom_site_fract_z
Ni1 0.2500 0.2500 0.2500
Ni2 0.7500 0.7500 0.7500
Gd1 0.5000 0.5000 0.5000
Dy1 0.0000 0.0000 0.0000

Record 16
# GdDyNi2 (PBE, relaxed)
# - Energy above the most stable polymorph in this dataset: 0.0038 eV/atom
# - Crystal system: orthorhombic
data_GdDyNi2
_symmetry_space_group_name_H-M 'P 1'
_symmetry_Int_Tables_number 1
_symmetry_space_group_name_Hall 'P 1'
_cell_length_a 5.4343
_cell_length_b 5.4343
_cell_length_c 4.2925
_cell_angle_alpha 90.00
_cell_angle_beta 90.00
_cell_angle_gamma 140.42
loop_
_atom_site_label
_atom_site_fract_x
_atom_site_fract_y
_atom_site_fract_z
Dy1 0.1380 0.8620 0.0000
Ni1 0.4268 0.5732 0.0000
Ni2 0.5744 0.4256 0.5000
Gd1 0.8608 0.1392 0.5000

Record 17
# GdDyNi2 (PBE, relaxed)
# - Energy above the most stable polymorph in this dataset: 0.0680 eV/atom
# - Crystal system: tetragonal
data_GdDyNi2
_symmetry_space_group_name_H-M 'P 1'
_symmetry_Int_Tables_number 1
_symmetry_space_group_name_Hall 'P 1'
_cell_length_a 3.3458
_cell_length_b 4.8275
_cell_length_c 4.8275
_cell_angle_alpha 90.00
_cell_angle_beta 90.00
_cell_angle_gamma 90.00
loop_
_atom_site_label
_atom_site_fract_x
_atom_site_fract_y
_atom_site_fract_z
Ni1 0.0000 0.0000 0.5000
Ni2 0.0000 0.5000 0.0000
Dy1 0.5000 0.5000 0.5000
Gd1 0.5000 0.0000 0.0000

Record 18
# GdDyNi (PBE, relaxed)
# - Energy above the most stable polymorph in this dataset: 0.0861 eV/atom
# - Crystal system: cubic
data_GdDyNi
_symmetry_space_group_name_H-M 'P 1'
_symmetry_Int_Tables_number 1
_symmetry_space_group_name_Hall 'P 1'
_cell_length_a 4.7636
_cell_length_b 4.7636
_cell_length_c 4.7636
_cell_angle_alpha 60.00
_cell_angle_beta 60.00
_cell_angle_gamma 60.00
loop_
_atom_site_label
_atom_site_fract_x
_atom_site_fract_y
_atom_site_fract_z
Gd1 0.0000 0.0000 0.0000
Dy1 0.5000 0.5000 0.5000
Ni1 0.2500 0.2500 0.2500

Record 19
# GdDy2Ni (PBE, relaxed)
# - Energy above the most stable polymorph in this dataset: 0.0000 eV/atom
# - Crystal system: tetragonal
data_GdDy2Ni
_symmetry_space_group_name_H-M 'P 1'
_symmetry_Int_Tables_number 1
_symmetry_space_group_name_Hall 'P 1'
_cell_length_a 3.4530
_cell_length_b 3.4530
_cell_length_c 8.6767
_cell_angle_alpha 90.00
_cell_angle_beta 90.00
_cell_angle_gamma 90.00
loop_
_atom_site_label
_atom_site_fract_x
_atom_site_fract_y
_atom_site_fract_z
Dy1 0.0000 0.0000 0.1849
Dy2 0.0000 0.0000 0.8151
Gd1 0.5000 0.5000 0.5000
Ni1 0.5000 0.5000 0.0000

Record 20
# GdDyNi4 (PBE, relaxed)
# - Crystal system: cubic
data_GdDyNi4
_symmetry_space_group_name_H-M 'P 1'
_symmetry_Int_Tables_number 1
_symmetry_space_group_name_Hall 'P 1'
_cell_length_a 5.0788
_cell_length_b 5.0788
_cell_length_c 5.0788
_cell_angle_alpha 60.00
_cell_angle_beta 60.00
_cell_angle_gamma 60.00
loop_
_atom_site_label
_atom_site_fract_x
_atom_site_fract_y
_atom_site_fract_z
Ni1 0.6248 0.6248 0.1256
Ni2 0.6248 0.1256 0.6248
Ni3 0.6248 0.6248 0.6248
Ni4 0.1256 0.6248 0.6248
Dy1 0.2500 0.2500 0.2500
Gd1 0.0000 0.0000 0.0000

Record 21
# GdDy2Ni (PBE, relaxed)
# - Energy above the most stable polymorph in this dataset: 0.2258 eV/atom
# - Crystal system: trigonal
data_GdDy2Ni
_symmetry_space_group_name_H-M 'P 1'
_symmetry_Int_Tables_number 1
_symmetry_space_group_name_Hall 'P 1'
_cell_length_a 3.5778
_cell_length_b 3.5778
_cell_length_c 10.5173
_cell_angle_alpha 80.21
_cell_angle_beta 80.21
_cell_angle_gamma 60.00
loop_
_atom_site_label
_atom_site_fract_x
_atom_site_fract_y
_atom_site_fract_z
Dy1 0.1108 0.1108 0.6676
Dy2 0.8892 0.8892 0.3324
Gd1 0.0000 0.0000 0.0000
Ni1 0.5000 0.5000 0.5000

Record 22
# GdDyNi (PBE, relaxed)
# - Energy above the most stable polymorph in this dataset: 0.0723 eV/atom
# - Crystal system: trigonal
data_GdDyNi
_symmetry_space_group_name_H-M 'P 1'
_symmetry_Int_Tables_number 1
_symmetry_space_group_name_Hall 'P 1'
_cell_length_a 3.9237
_cell_length_b 3.9237
_cell_length_c 6.1935
_cell_angle_alpha 90.00
_cell_angle_beta 90.00
_cell_angle_gamma 120.00
loop_
_atom_site_label
_atom_site_fract_x
_atom_site_fract_y
_atom_site_fract_z
Gd1 0.0000 0.0000 0.0897
Ni1 0.6667 0.3333 0.3371
Dy1 0.3333 0.6667 0.5732

Record 23
# GdDyNiOs (PBE, relaxed)
# - Crystal system: cubic
data_GdDyNiOs
_symmetry_space_group_name_H-M 'P 1'
_symmetry_Int_Tables_number 1
_symmetry_space_group_name_Hall 'P 1'
_cell_length_a 4.8239
_cell_length_b 4.8239
_cell_length_c 4.8239
_cell_angle_alpha 60.00
_cell_angle_beta 60.00
_cell_angle_gamma 60.00
loop_
_atom_site_label
_atom_site_fract_x
_atom_site_fract_y
_atom_site_fract_z
Dy1 0.0000 0.0000 0.0000
Os1 0.7500 0.7500 0.7500
Ni1 0.2500 0.2500 0.2500
Gd1 0.5000 0.5000 0.5000

Record 24
# GdDyNiPd (PBE, relaxed)
# - Crystal system: cubic
data_GdDyNiPd
_symmetry_space_group_name_H-M 'P 1'
_symmetry_Int_Tables_number 1
_symmetry_space_group_name_Hall 'P 1'
_cell_length_a 4.9102
_cell_length_b 4.9102
_cell_length_c 4.9102
_cell_angle_alpha 60.00
_cell_angle_beta 60.00
_cell_angle_gamma 60.00
loop_
_atom_site_label
_atom_site_fract_x
_atom_site_fract_y
_atom_site_fract_z
Dy1 0.5000 0.5000 0.5000
Gd1 0.0000 0.0000 0.0000
Pd1 0.2500 0.2500 0.2500
Ni1 0.7500 0.7500 0.7500

Record 25
# GdDyNiRh (PBE, relaxed)
# - Crystal system: cubic
data_GdDyNiRh
_symmetry_space_group_name_H-M 'P 1'
_symmetry_Int_Tables_number 1
_symmetry_space_group_name_Hall 'P 1'
_cell_length_a 4.8458
_cell_length_b 4.8458
_cell_length_c 4.8458
_cell_angle_alpha 60.00
_cell_angle_beta 60.00
_cell_angle_gamma 60.00
loop_
_atom_site_label
_atom_site_fract_x
_atom_site_fract_y
_atom_site_fract_z
Rh1 0.7500 0.7500 0.7500
Ni1 0.2500 0.2500 0.2500
Dy1 0.0000 0.0000 0.0000
Gd1 0.5000 0.5000 0.5000

Record 26
# GdDyTlNi (PBE, relaxed)
# - Crystal system: cubic
data_GdDyTlNi
_symmetry_space_group_name_H-M 'P 1'
_symmetry_Int_Tables_number 1
_symmetry_space_group_name_Hall 'P 1'
_cell_length_a 5.1433
_cell_length_b 5.1433
_cell_length_c 5.1433
_cell_angle_alpha 60.00
_cell_angle_beta 60.00
_cell_angle_gamma 60.00
loop_
_atom_site_label
_atom_site_fract_x
_atom_site_fract_y
_atom_site_fract_z
Gd1 0.5000 0.5000 0.5000
Ni1 0.2500 0.2500 0.2500
Tl1 0.7500 0.7500 0.7500
Dy1 0.0000 0.0000 0.0000

Record 27
# GdDyZnNi (PBE, relaxed)
# - Crystal system: cubic
data_GdDyZnNi
_symmetry_space_group_name_H-M 'P 1'
_symmetry_Int_Tables_number 1
_symmetry_space_group_name_Hall 'P 1'
_cell_length_a 4.9349
_cell_length_b 4.9349
_cell_length_c 4.9349
_cell_angle_alpha 60.00
_cell_angle_beta 60.00
_cell_angle_gamma 60.00
loop_
_atom_site_label
_atom_site_fract_x
_atom_site_fract_y
_atom_site_fract_z
Zn1 0.7500 0.7500 0.7500
Dy1 0.5000 0.5000 0.5000
Gd1 0.0000 0.0000 0.0000
Ni1 0.2500 0.2500 0.2500

| no. | energy relative to the elements (kJ/mol of formula units) | raw total energy (eV/atom) |
| --- | --- | --- |
| 1 | 5 | -7.042 |
| 2 | 8 | -6.993 |
| 3 | 9 | -6.990 |
| 4 | 47 | -6.929 |
| 5 | 77 | -9.246 |
| 6 | 59 | -8.029 |
| 7 | 46 | -6.902 |
| 8 | -28 | -6.527 |
| 9 | 41 | -6.873 |
| 10 | 12 | -6.149 |
| 11 | 85 | -7.780 |
| 12 | -167 | -7.993 |
| 13 | -10 | -10.547 |
| 14 | -66 | -8.382 |
| 15 | -139 | -7.922 |
| 16 | -165 | -7.990 |
| 17 | -140 | -7.925 |
| 18 | -41 | -8.296 |
| 19 | -64 | -7.433 |
| 20 | -250 | -7.400 |
| 21 | 23 | -7.208 |
| 22 | -45 | -8.309 |
| 23 | -100 | -9.183 |
| 24 | -229 | -8.006 |
| 25 | -230 | -8.549 |
| 26 | -93 | -6.947 |
| 27 | -128 | -6.766 |